Record 1
11
Lattice="5.3285 -0.2003 -0.2565 -2.6473 7.1020 0.7667 -2.6473 -0.9779 7.0760" Properties=species:S:1:pos:R:3 comment="Hf7TlIn3 | Alexandria | PBE-GGA | optimized geometry" energy_ev_per_atom=-7.0224 delta_e_f_kj_per_mol_atoms=26.4 space_group=C2/m pbc="T T T"
Hf 0.3114 1.1843 1.5166
Hf 0.0399 -0.5184 4.1001
Hf -0.0060 1.8204 7.0951
Hf 0.0399 4.1034 0.4911
Hf -2.6473 3.0620 3.9214
Hf -0.0060 6.4421 3.4861
Hf -0.2775 4.7395 6.0696
Tl 0.0169 2.9619 3.7931
In -2.6473 5.3437 2.1397
In 2.6642 -0.1002 -0.1283
In -2.6473 0.7803 5.7031

Record 2
4
Lattice="5.0410 0.0000 0.0000 2.5205 4.3656 0.0000 2.5205 1.4552 4.1160" Properties=species:S:1:pos:R:3 comment="ZnSiSb2 | Alexandria | PBE-GGA | optimized geometry" energy_ev_per_atom=-3.2776 e_form_raw_kj_per_mol_fu=177 space_group=F-43m pbc="T T T"
Sb 0.0000 0.0000 0.0000
Sb 7.5615 4.3656 3.0870
Si 5.0410 2.9104 2.0580
Zn 2.5205 1.4552 1.0290

Record 3
6
Lattice="4.4783 0.0000 0.0000 0.0000 5.0405 0.0000 0.0000 0.0000 7.2211" Properties=species:S:1:pos:R:3 comment="LaURe | Alexandria | PBE-GGA | optimized geometry" energy_ev_per_atom=-9.2079 delta_e_f_kj_per_mol_atoms=33.5 space_group=Pmmn pbc="T T T"
Re 2.2391 0.0000 4.7954
Re 0.0000 2.5202 2.4257
U 0.0000 0.0000 3.0270
U 2.2391 2.5202 4.1941
La 2.2391 2.5202 0.5288
La 0.0000 0.0000 6.6923

Record 4
4
Lattice="3.8146 0.0000 0.0000 1.9073 3.3035 0.0000 1.9073 1.1012 9.3135" Properties=species:S:1:pos:R:3 comment="EuBeTe2 | Alexandria | PBE-GGA | optimized geometry" energy_ev_per_atom=-5.1971 e_form_raw_kj_per_mol_fu=-49 space_group=R-3m pbc="T T T"
Eu 0.0000 0.0000 0.0000
Be 3.8146 2.2023 4.6567
Te 1.9073 1.1012 6.1405
Te 5.7219 3.3035 3.1730

Record 5
6
Lattice="-5.0177 2.2180 0.5178 -2.1405 2.9649 -4.1221 -4.2130 -2.0009 -2.9345" Properties=species:S:1:pos:R:3 comment="TaAsCl4 | Alexandria | PBE-GGA | optimized geometry" energy_ev_per_atom=-2.9038 e_form_raw_kj_per_mol_fu=624 space_group=F-43m pbc="T T T"
Ta -8.5284 2.3865 -4.9042
As 0.0000 0.0000 0.0000
Cl -6.7639 2.2962 -2.2023
Cl -6.3649 0.2046 -3.9139
Cl -5.3374 2.6666 -4.5027
Cl -4.2762 1.1966 -2.4590

Record 6
5
Lattice="-3.2443 4.1444 -1.1152 0.0615 -1.3529 -5.2068 -4.2914 -3.1525 0.7684" Properties=species:S:1:pos:R:3 comment="NaGaBr3 | Alexandria | PBE-GGA | optimized geometry" energy_ev_per_atom=-2.7499 relative_energy_mev_per_atom=230.0 e_form_raw_kj_per_mol_fu=-423 space_group=Pm-3m pbc="T T T"
Na -3.7370 -0.1805 -2.7768
Ga 0.0000 0.0000 0.0000
Br 0.0308 -0.6765 -2.6034
Br -2.1457 -1.5763 0.3842
Br -1.6221 2.0722 -0.5576

Record 7
5
Lattice="4.6817 0.0000 0.0000 0.0000 4.6817 0.0000 0.0000 0.0000 4.6817" Properties=species:S:1:pos:R:3 comment="LaOF3 | Alexandria | PBE-GGA | optimized geometry" energy_ev_per_atom=-5.7259 relative_energy_mev_per_atom=578.3 e_form_raw_kj_per_mol_fu=-1267 space_group=Pm-3m pbc="T T T"
F 0.0000 2.3409 0.0000
F 0.0000 0.0000 2.3409
F 2.3409 0.0000 0.0000
O 2.3409 2.3409 2.3409
La 0.0000 0.0000 0.0000

Record 8
10
Lattice="-4.3897 -2.3470 0.6316 1.0518 -0.6589 4.8617 -5.3565 10.7212 2.6120" Properties=species:S:1:pos:R:3 comment="K2In3AgSn4 | Alexandria | PBE-GGA | optimized geometry" energy_ev_per_atom=-3.0578 delta_e_f_kj_per_mol_atoms=-12.6 space_group=P-4m2 pbc="T T T"
K -3.5877 1.6143 0.9950
K -3.4377 7.6040 4.3636
In -2.6782 5.3606 1.3060
In -6.8063 8.0567 2.5645
In -0.2191 1.1616 2.7941
Ag -4.3472 3.8577 4.0526
Sn -1.6689 -1.5030 2.7466
Sn 0.0000 0.0000 0.0000
Sn -5.5467 5.5355 1.9503
Sn -1.4787 3.6828 3.4083

Record 9
5
Lattice="4.7847 0.0000 0.0000 0.0000 4.7847 0.0000 0.0000 0.0000 5.0145" Properties=species:S:1:pos:R:3 comment="As2PRhBr | Alexandria | PBE-GGA | optimized geometry" energy_ev_per_atom=-3.9972 relative_energy_mev_per_atom=0.0 e_form_raw_kj_per_mol_fu=362 space_group=P4/mmm pbc="T T T"
P 2.3923 2.3923 2.5073
As 0.0000 2.3923 0.0000
As 2.3923 0.0000 0.0000
Rh 0.0000 0.0000 0.0000
Br 0.0000 0.0000 2.5073

Record 10
5
Lattice="4.8277 0.0000 0.0000 0.0000 4.8277 0.0000 0.0000 0.0000 4.8277" Properties=species:S:1:pos:R:3 comment="NaZn3Rh | Alexandria | PBE-GGA | optimized geometry" energy_ev_per_atom=-2.5807 delta_e_f_kj_per_mol_atoms=-7.9 relative_energy_mev_per_atom=0.0 space_group=Pm-3m pbc="T T T"
Na 2.4139 2.4139 2.4139
Zn 0.0000 2.4139 0.0000
Zn 0.0000 0.0000 2.4139
Zn 2.4139 0.0000 0.0000
Rh 0.0000 0.0000 0.0000

Record 11
4
Lattice="-2.1427 3.9872 1.6382 -4.7640 0.5284 -0.4447 -2.8191 -0.2100 3.8963" Properties=species:S:1:pos:R:3 comment="YScGaTc | Alexandria | PBE-GGA | optimized geometry" energy_ev_per_atom=-6.8491 delta_e_f_kj_per_mol_atoms=-29.1 space_group=F-43m pbc="T T T"
Y -7.2944 3.2292 3.8173
Sc -2.4315 1.0764 1.2724
Tc -4.8629 2.1528 2.5449
Ga 0.0000 0.0000 0.0000

Record 12
4
Lattice="-5.1461 0.2135 -1.0393 -0.1778 -5.2476 -0.1975 -0.6542 -0.0990 3.2191" Properties=species:S:1:pos:R:3 comment="Zr3Br | Alexandria | PBE-GGA | optimized geometry" energy_ev_per_atom=-6.7062 relative_energy_mev_per_atom=375.0 e_form_raw_kj_per_mol_fu=48 space_group=P4/mmm pbc="T T T"
Br 0.0000 0.0000 0.0000
Zr -2.9002 0.0572 1.0899
Zr -2.6620 -2.5171 -0.6184
Zr -0.4160 -2.6733 1.5108